No. 1
Mn3GeC (PBE-GGA, optimized geometry); DFT total energy = -8.3762 eV per atom; SG = Pnma (62); crystal system = orthorhombic; calculated volume = 228 Å³ per cell; E_form = -0.106 eV per atom
1.0
2.992 0.000 0.000
0.000 6.872 0.000
0.000 0.000 11.082
Ge C Mn
4 4 12
Cartesian
2.244 0.561 7.415 Ge
0.748 6.312 3.667 Ge
2.244 3.997 9.208 Ge
0.748 2.876 1.874 Ge
0.748 4.513 6.163 C
0.748 1.077 10.460 C
2.244 2.359 4.919 C
2.244 5.795 0.622 C
2.244 6.725 9.947 Mn
0.748 0.147 1.136 Mn
2.244 2.264 11.022 Mn
0.748 3.583 4.405 Mn
2.244 5.701 5.602 Mn
2.244 4.867 2.333 Mn
0.748 2.005 8.750 Mn
0.748 5.441 7.874 Mn
0.748 1.172 5.481 Mn
0.748 4.608 0.061 Mn
2.244 3.289 6.677 Mn
2.244 1.431 3.208 Mn

***

No. 2
Mn3GeC (PBE-GGA, optimized geometry); DFT total energy = -8.3182 eV per atom; SG = Pm-3m (221); crystal system = cubic; calculated volume = 55 Å³ per cell; E_form = -0.048 eV per atom
1.0
3.798 0.000 0.000
0.000 3.798 0.000
0.000 0.000 3.798
C Ge Mn
1 1 3
Cartesian
0.000 0.000 0.000 C
1.899 1.899 1.899 Ge
0.000 0.000 1.899 Mn
1.899 0.000 0.000 Mn
0.000 1.899 0.000 Mn

***

No. 3
Mn2GeC (PBE-GGA, optimized geometry); DFT total energy = -7.7222 eV per atom; SG = P3m1 (156); crystal system = trigonal; calculated volume = 51 Å³ per cell; E_form = 0.323 eV per atom
1.0
3.108 0.000 0.000
-1.554 2.691 0.000
0.000 0.000 6.122
Mn C Ge
2 1 1
Cartesian
0.000 1.794 0.145 Mn
1.554 0.897 2.011 Mn
1.554 0.897 6.121 C
0.000 1.794 3.808 Ge

***

No. 4
MnGeC2 (PBE-GGA, optimized geometry); DFT total energy = -7.3752 eV per atom; SG = I-42d (122); crystal system = tetragonal; calculated volume = 93 Å³ per cell; E_form = 0.683 eV per atom
1.0
4.587 0.000 0.000
0.000 4.587 0.000
2.294 2.294 4.425
C Mn Ge
4 2 2
Cartesian
5.734 5.674 3.319 C
1.207 3.441 1.106 C
3.441 3.501 3.319 C
3.381 1.147 1.106 C
2.294 2.294 0.000 Mn
2.294 4.587 2.213 Mn
4.587 2.294 2.213 Ge
0.000 0.000 0.000 Ge

***

No. 5
MnNb2GeC (PBE-GGA, optimized geometry); DFT total energy = -6.5551 eV per atom; SG = P4/mmm (123); crystal system = tetragonal; calculated volume = 99 Å³ per cell; E_form = 2.075 eV per atom
1.0
4.787 0.000 0.000
0.000 4.787 0.000
0.000 0.000 4.331
Nb Ge C Mn
2 1 1 1
Cartesian
2.393 0.000 0.000 Nb
0.000 2.393 0.000 Nb
0.000 0.000 0.000 Ge
2.393 2.393 2.165 C
0.000 0.000 2.165 Mn

***

No. 6
NdMn2GeC (PBE-GGA, optimized geometry); DFT total energy = -7.7242 eV per atom; SG = Cmcm (63); crystal system = orthorhombic; calculated volume = 152 Å³ per cell; E_form = -0.335 eV per atom
1.0
-3.463 0.051 1.757
0.701 -4.985 -2.767
2.964 -2.872 5.924
Mn Ge Nd C
4 2 2 2
Cartesian
2.438 -4.332 4.930 Mn
-1.124 -4.550 2.207 Mn
1.326 -3.255 2.708 Mn
-2.236 -3.473 -0.015 Mn
0.008 -4.457 4.435 Ge
0.194 -3.349 0.479 Ge
-1.082 -1.133 2.192 Nd
1.284 -6.672 2.723 Nd
0.000 0.000 0.000 C
1.482 -1.436 2.962 C